1.
# HoBiSe2O, relaxed, DFT PBE-GGA
# Raw formation energy, meV per atom: -1692
# Magnetic moment, μB per atom: 0.0000
data_HoBiSe2O
_space_group_name_H-M_alt 'P 1'
_space_group_IT_number 1
_cell_length_a 3.998
_cell_length_b 3.998
_cell_length_c 15.062
_cell_angle_alpha 90.00
_cell_angle_beta 90.00
_cell_angle_gamma 90.00
loop_
_space_group_symop_operation_xyz
'x,y,z'
loop_
_atom_site_label
_atom_site_type_symbol
_atom_site_fract_x
_atom_site_fract_y
_atom_site_fract_z
_atom_site_occupancy
Ho1 Ho 0.250 0.250 0.071 1
Ho2 Ho 0.750 0.750 0.929 1
Bi1 Bi 0.250 0.250 0.645 1
Bi2 Bi 0.750 0.750 0.355 1
Se1 Se 0.250 0.250 0.403 1
Se2 Se 0.250 0.250 0.823 1
Se3 Se 0.750 0.750 0.177 1
Se4 Se 0.750 0.750 0.597 1
O1 O 0.250 0.750 0.000 1
O2 O 0.750 0.250 0.000 1


2.
# Zr2MnTe, relaxed, DFT PBE-GGA
# Raw formation energy, meV per atom: -160
# Magnetic moment, μB per atom: 0.7695
data_Zr2MnTe
_space_group_name_H-M_alt 'P 1'
_space_group_IT_number 1
_cell_length_a 5.260
_cell_length_b 5.260
_cell_length_c 5.260
_cell_angle_alpha 130.82
_cell_angle_beta 130.82
_cell_angle_gamma 72.10
loop_
_space_group_symop_operation_xyz
'x,y,z'
loop_
_atom_site_label
_atom_site_type_symbol
_atom_site_fract_x
_atom_site_fract_y
_atom_site_fract_z
_atom_site_occupancy
Zr1 Zr 0.250 0.750 0.500 1
Zr2 Zr 0.750 0.250 0.500 1
Mn1 Mn 0.000 0.000 0.000 1
Te1 Te 0.500 0.500 0.000 1


3.
# AsCSe2F, relaxed, DFT PBE-GGA
# Raw formation energy, meV per atom: 1040
# Magnetic moment, μB per atom: 0.0251
# Distance to the lowest polymorph of the same formula, meV/atom: 185.6
data_AsCSe2F
_space_group_name_H-M_alt 'P 1'
_space_group_IT_number 1
_cell_length_a 5.070
_cell_length_b 5.070
_cell_length_c 3.962
_cell_angle_alpha 90.00
_cell_angle_beta 90.00
_cell_angle_gamma 90.00
loop_
_space_group_symop_operation_xyz
'x,y,z'
loop_
_atom_site_label
_atom_site_type_symbol
_atom_site_fract_x
_atom_site_fract_y
_atom_site_fract_z
_atom_site_occupancy
As1 As 0.000 0.000 0.000 1
C1 C 0.500 0.500 0.500 1
Se1 Se 0.000 0.500 0.000 1
Se2 Se 0.500 0.000 0.000 1
F1 F 0.000 0.000 0.500 1


4.
# RbZn2InI6, relaxed, DFT PBE-GGA
# Raw formation energy, meV per atom: -725
# Magnetic moment, μB per atom: 0.0000
data_RbZn2InI6
_space_group_name_H-M_alt 'P 1'
_space_group_IT_number 1
_cell_length_a 8.581
_cell_length_b 8.581
_cell_length_c 16.149
_cell_angle_alpha 99.11
_cell_angle_beta 99.11
_cell_angle_gamma 109.25
loop_
_space_group_symop_operation_xyz
'x,y,z'
loop_
_atom_site_label
_atom_site_type_symbol
_atom_site_fract_x
_atom_site_fract_y
_atom_site_fract_z
_atom_site_occupancy
Rb1 Rb 0.084 0.916 0.750 1
Rb2 Rb 0.916 0.084 0.250 1
Zn1 Zn 0.182 0.470 0.671 1
Zn2 Zn 0.470 0.182 0.171 1
Zn3 Zn 0.530 0.818 0.829 1
Zn4 Zn 0.818 0.530 0.329 1
In1 In 0.399 0.601 0.250 1
In2 In 0.601 0.399 0.750 1
I1 I 0.113 0.515 0.384 1
I2 I 0.192 0.217 0.104 1
I3 I 0.217 0.192 0.604 1
I4 I 0.265 0.551 0.846 1
I5 I 0.449 0.735 0.654 1
I6 I 0.485 0.887 0.116 1
I7 I 0.515 0.113 0.884 1
I8 I 0.551 0.265 0.346 1
I9 I 0.735 0.449 0.154 1
I10 I 0.783 0.808 0.396 1
I11 I 0.808 0.783 0.896 1
I12 I 0.887 0.485 0.616 1


5.
# TbDy2Ni2, relaxed, DFT PBE-GGA
# E_form, eV/atom: -0.3203
# Magnetic moment, μB per atom: 0.0000
# Distance to the lowest polymorph of the same formula, meV/atom: 0.0
data_TbDy2Ni2
_space_group_name_H-M_alt 'P 1'
_space_group_IT_number 1
_cell_length_a 7.530
_cell_length_b 7.530
_cell_length_c 3.859
_cell_angle_alpha 90.00
_cell_angle_beta 90.00
_cell_angle_gamma 90.00
loop_
_space_group_symop_operation_xyz
'x,y,z'
loop_
_atom_site_label
_atom_site_type_symbol
_atom_site_fract_x
_atom_site_fract_y
_atom_site_fract_z
_atom_site_occupancy
Tb1 Tb 0.000 0.000 0.000 1
Tb2 Tb 0.500 0.500 0.000 1
Dy1 Dy 0.165 0.335 0.500 1
Dy2 Dy 0.335 0.835 0.500 1
Dy3 Dy 0.665 0.165 0.500 1
Dy4 Dy 0.835 0.665 0.500 1
Ni1 Ni 0.122 0.622 0.000 1
Ni2 Ni 0.378 0.122 0.000 1
Ni3 Ni 0.622 0.878 0.000 1
Ni4 Ni 0.878 0.378 0.000 1


6.
# La2TbPm6Nd3, relaxed, DFT PBE-GGA
# E_form, eV/atom: 0.0154
# Magnetic moment, μB per atom: 0.0000
data_La2TbPm6Nd3
_space_group_name_H-M_alt 'P 1'
_space_group_IT_number 1
_cell_length_a 6.359
_cell_length_b 6.359
_cell_length_c 12.165
_cell_angle_alpha 95.03
_cell_angle_beta 95.03
_cell_angle_gamma 120.00
loop_
_space_group_symop_operation_xyz
'x,y,z'
loop_
_atom_site_label
_atom_site_type_symbol
_atom_site_fract_x
_atom_site_fract_y
_atom_site_fract_z
_atom_site_occupancy
La1 La 0.167 0.833 0.000 1
La2 La 0.833 0.167 0.000 1
Tb1 Tb 0.500 0.500 0.000 1
Pm1 Pm 0.084 0.416 0.749 1
Pm2 Pm 0.251 0.251 0.251 1
Pm3 Pm 0.416 0.084 0.749 1
Pm4 Pm 0.584 0.916 0.251 1
Pm5 Pm 0.749 0.749 0.749 1
Pm6 Pm 0.916 0.584 0.251 1
Nd1 Nd 0.000 0.000 0.500 1
Nd2 Nd 0.334 0.666 0.500 1
Nd3 Nd 0.666 0.334 0.500 1


7.
# TiPRhS2, relaxed, DFT PBE-GGA
# Raw formation energy, meV per atom: 358
# Magnetic moment, μB per atom: 0.0010
# Distance to the lowest polymorph of the same formula, meV/atom: 40.2
data_TiPRhS2
_space_group_name_H-M_alt 'P 1'
_space_group_IT_number 1
_cell_length_a 4.675
_cell_length_b 4.675
_cell_length_c 4.412
_cell_angle_alpha 90.00
_cell_angle_beta 90.00
_cell_angle_gamma 90.00
loop_
_space_group_symop_operation_xyz
'x,y,z'
loop_
_atom_site_label
_atom_site_type_symbol
_atom_site_fract_x
_atom_site_fract_y
_atom_site_fract_z
_atom_site_occupancy
Ti1 Ti 0.000 0.000 0.000 1
P1 P 0.500 0.500 0.000 1
Rh1 Rh 0.500 0.500 0.500 1
S1 S 0.000 0.500 0.500 1
S2 S 0.500 0.000 0.500 1


8.
# AlPt2Pb, relaxed, DFT PBE-GGA
# E_form, eV/atom: -0.4541
# Magnetic moment, μB per atom: 0.0000
data_AlPt2Pb
_space_group_name_H-M_alt 'P 1'
_space_group_IT_number 1
_cell_length_a 6.115
_cell_length_b 6.115
_cell_length_c 6.115
_cell_angle_alpha 38.65
_cell_angle_beta 38.65
_cell_angle_gamma 38.65
loop_
_space_group_symop_operation_xyz
'x,y,z'
loop_
_atom_site_label
_atom_site_type_symbol
_atom_site_fract_x
_atom_site_fract_y
_atom_site_fract_z
_atom_site_occupancy
Al1 Al 0.000 0.000 0.000 1
Pt1 Pt 0.393 0.393 0.393 1
Pt2 Pt 0.617 0.617 0.617 1
Pb1 Pb 0.175 0.175 0.175 1


9.
# Pm3NiPt, relaxed, DFT PBE-GGA
# E_form, eV/atom: -0.5748
# Magnetic moment, μB per atom: 0.0000
# Distance to the lowest polymorph of the same formula, meV/atom: 36.2
data_Pm3NiPt
_space_group_name_H-M_alt 'P 1'
_space_group_IT_number 1
_cell_length_a 7.463
_cell_length_b 6.935
_cell_length_c 11.197
_cell_angle_alpha 90.00
_cell_angle_beta 119.46
_cell_angle_gamma 90.00
loop_
_space_group_symop_operation_xyz
'x,y,z'
loop_
_atom_site_label
_atom_site_type_symbol
_atom_site_fract_x
_atom_site_fract_y
_atom_site_fract_z
_atom_site_occupancy
Pm1 Pm 0.096 0.184 0.233 1
Pm2 Pm 0.096 0.316 0.733 1
Pm3 Pm 0.301 0.509 0.066 1
Pm4 Pm 0.301 0.991 0.566 1
Pm5 Pm 0.354 0.512 0.572 1
Pm6 Pm 0.354 0.988 0.072 1
Pm7 Pm 0.646 0.012 0.928 1
Pm8 Pm 0.646 0.488 0.428 1
Pm9 Pm 0.699 0.009 0.434 1
Pm10 Pm 0.699 0.491 0.934 1
Pm11 Pm 0.904 0.684 0.267 1
Pm12 Pm 0.904 0.816 0.767 1
Ni1 Ni 0.001 0.699 0.555 1
Ni2 Ni 0.001 0.801 0.055 1
Ni3 Ni 0.999 0.199 0.945 1
Ni4 Ni 0.999 0.301 0.445 1
Pt1 Pt 0.317 0.712 0.817 1
Pt2 Pt 0.317 0.788 0.317 1
Pt3 Pt 0.683 0.212 0.683 1
Pt4 Pt 0.683 0.288 0.183 1


10.
# La2Cr, relaxed, DFT PBE-GGA
# E_form, eV/atom: 0.3892
# Magnetic moment, μB per atom: 1.1470
data_La2Cr
_space_group_name_H-M_alt 'P 1'
_space_group_IT_number 1
_cell_length_a 6.487
_cell_length_b 6.487
_cell_length_c 8.204
_cell_angle_alpha 111.00
_cell_angle_beta 111.00
_cell_angle_gamma 33.59
loop_
_space_group_symop_operation_xyz
'x,y,z'
loop_
_atom_site_label
_atom_site_type_symbol
_atom_site_fract_x
_atom_site_fract_y
_atom_site_fract_z
_atom_site_occupancy
La1 La 0.007 0.007 0.206 1
La2 La 0.319 0.319 0.366 1
La3 La 0.681 0.681 0.634 1
La4 La 0.993 0.993 0.794 1
Cr1 Cr 0.316 0.316 0.939 1
Cr2 Cr 0.684 0.684 0.061 1


11.
# TiAg3S, relaxed, DFT PBE-GGA
# Raw formation energy, meV per atom: 711
# Magnetic moment, μB per atom: 0.5377
# Distance to the lowest polymorph of the same formula, meV/atom: 0.0
data_TiAg3S
_space_group_name_H-M_alt 'P 1'
_space_group_IT_number 1
_cell_length_a 4.807
_cell_length_b 4.807
_cell_length_c 4.807
_cell_angle_alpha 90.00
_cell_angle_beta 90.00
_cell_angle_gamma 90.00
loop_
_space_group_symop_operation_xyz
'x,y,z'
loop_
_atom_site_label
_atom_site_type_symbol
_atom_site_fract_x
_atom_site_fract_y
_atom_site_fract_z
_atom_site_occupancy
Ti1 Ti 0.000 0.000 0.000 1
Ag1 Ag 0.000 0.500 0.500 1
Ag2 Ag 0.500 0.000 0.500 1
Ag3 Ag 0.500 0.500 0.000 1
S1 S 0.500 0.500 0.500 1


12.
# Nd4ThSi4, relaxed, DFT PBE-GGA
# Raw formation energy, meV per atom: -395
# Magnetic moment, μB per atom: 0.0000
data_Nd4ThSi4
_space_group_name_H-M_alt 'P 1'
_space_group_IT_number 1
_cell_length_a 9.184
_cell_length_b 9.184
_cell_length_c 5.980
_cell_angle_alpha 90.00
_cell_angle_beta 90.00
_cell_angle_gamma 90.00
loop_
_space_group_symop_operation_xyz
'x,y,z'
loop_
_atom_site_label
_atom_site_type_symbol
_atom_site_fract_x
_atom_site_fract_y
_atom_site_fract_z
_atom_site_occupancy
Nd1 Nd 0.054 0.673 0.122 1
Nd2 Nd 0.173 0.946 0.622 1
Nd3 Nd 0.327 0.554 0.622 1
Nd4 Nd 0.446 0.827 0.122 1
Nd5 Nd 0.554 0.173 0.878 1
Nd6 Nd 0.673 0.446 0.378 1
Nd7 Nd 0.827 0.054 0.378 1
Nd8 Nd 0.946 0.327 0.878 1
Th1 Th 0.250 0.250 0.250 1
Th2 Th 0.750 0.750 0.750 1
Si1 Si 0.015 0.613 0.611 1
Si2 Si 0.113 0.985 0.111 1
Si3 Si 0.387 0.515 0.111 1
Si4 Si 0.485 0.887 0.611 1
Si5 Si 0.515 0.113 0.389 1
Si6 Si 0.613 0.485 0.889 1
Si7 Si 0.887 0.015 0.889 1
Si8 Si 0.985 0.387 0.389 1